VASP calculation (PBE) on a geometry-optimized AcEuDyTl structure.

abc: 5.7427 5.7427 5.7427
angles: 60.00 60.00 60.00
With the nearest neighbours (Å) after each atom.
Positions (direct):
Ac 0.0000 0.0000 0.0000  4 Dy 3.52, 4 Eu 3.52
Eu 0.7500 0.7500 0.7500  4 Ac 3.52, 4 Tl 3.52
Dy 0.2500 0.2500 0.2500  4 Tl 3.52, 4 Ac 3.52
Tl 0.5000 0.5000 0.5000  4 Dy 3.52, 4 Eu 3.52

## Properties
Symmetry: F-43m (216)
Energy of formation from the pure elements (eV/atom): 0.034